[1]
Material: ErLuTl
Method: DFT, PBE
State: relaxed

```
ErLuTl
1.0
3.638 0.000 0.000
0.000 5.210 0.000
0.000 -2.605 4.512
Tl Lu Er
1 1 1
direct
0.834 0.667 0.333 Tl
0.833 0.000 0.000 Lu
0.333 0.333 0.667 Er
```

## Properties
Uncorrected energy ... -3.932 eV/atom
Formation energy from the elements ... -2.666 kcal/mol of atoms
Distance to the lowest polymorph of the same formula ... 105.0 meV per atom
Density of states at the Fermi level ... 2.97 states/eV per cell



[2]
Material: ErLuTl
Method: DFT, PBE
State: relaxed

```
ErLuTl
1.0
5.106 0.000 0.000
2.553 4.422 0.000
2.553 1.474 4.169
Tl Lu Er
1 1 1
direct
0.250 0.250 0.250 Tl
0.500 0.500 0.500 Lu
0.000 0.000 0.000 Er
```

## Properties
Uncorrected energy ... -3.837 eV/atom
Formation energy from the elements ... -0.463 kcal/mol of atoms
Distance to the lowest polymorph of the same formula ... 200.5 meV per atom
Density of states at the Fermi level ... 3.35 states/eV per cell



[3]
Material: ErTmLuTl
Method: DFT, PBE
State: relaxed

```
ErTmLuTl
1.0
5.395 0.000 0.000
2.697 4.672 0.000
2.697 1.557 4.405
Tl Lu Tm Er
1 1 1 1
direct
0.000 0.000 0.000 Tl
0.500 0.500 0.500 Lu
0.750 0.750 0.750 Tm
0.250 0.250 0.250 Er
```

## Properties
Uncorrected energy ... -3.993 eV/atom
Formation energy from the elements ... -0.288 kcal/mol of atoms
Density of states at the Fermi level ... 6.33 states/eV per cell



[4]
Material: ErLuTlZn
Method: DFT, PBE
State: relaxed

```
ErLuTlZn
1.0
-3.809 0.569 3.425
-0.747 -3.571 3.640
1.097 1.068 4.921
Tl Lu Zn Er
1 1 1 1
direct
0.500 0.500 0.500 Tl
0.250 0.250 0.250 Lu
0.000 0.000 0.000 Zn
0.750 0.750 0.750 Er
```

## Properties
Uncorrected energy ... -3.477 eV/atom
Formation energy from the elements ... -6.814 kcal/mol of atoms
Density of states at the Fermi level ... 3.93 states/eV per cell



[5]
Material: Er2TmLu
Method: DFT, PBE
State: relaxed

```
Er2TmLu
1.0
-3.385 0.478 0.681
-2.375 -2.147 -1.378
-1.054 -7.328 8.826
Lu Tm Er
1 1 2
direct
0.500 0.500 0.500 Lu
0.000 0.000 0.000 Tm
0.750 0.750 0.749 Er
0.250 0.250 0.251 Er
```

## Properties
Uncorrected energy ... -4.500 eV/atom
Formation energy from the elements ... 0.690 kcal/mol of atoms
Distance to the lowest polymorph of the same formula ... 1.8 meV per atom
Density of states at the Fermi level ... 6.20 states/eV per cell



[6]
Material: ErTmLu2
Method: DFT, PBE
State: relaxed

```
ErTmLu2
1.0
-2.745 -4.482 1.769
2.421 -4.986 -0.185
1.532 -2.514 4.699
Lu Tm Er
2 1 1
direct
0.250 0.250 0.250 Lu
0.750 0.750 0.750 Lu
0.500 0.500 0.500 Tm
0.000 0.000 0.000 Er
```

## Properties
Uncorrected energy ... -4.386 eV/atom
Formation energy from the elements ... 3.063 kcal/mol of atoms
Distance to the lowest polymorph of the same formula ... 101.6 meV per atom
Density of states at the Fermi level ... 9.59 states/eV per cell